First-principles (PBE) data for ScPa2Bi after structural relaxation, as listed in Alexandria via LeMat-Bulk.

Geometry as CIF:
```
data_ScPa2Bi
_symmetry_space_group_name_H-M 'P 4/m m m'
_symmetry_Int_Tables_number 123
_symmetry_space_group_name_Hall '-P 4 2'
_cell_length_a 4.419
_cell_length_b 4.419
_cell_length_c 5.092
_cell_angle_alpha 90.00
_cell_angle_beta 90.00
_cell_angle_gamma 90.00
loop_
_atom_site_label
_atom_site_type_symbol
_atom_site_fract_x
_atom_site_fract_y
_atom_site_fract_z
_atom_site_occupancy
Sc1 Sc 0.000 0.000 0.000 1
Pa1 Pa 0.000 0.500 0.500 1
Bi1 Bi 0.500 0.500 0.000 1
```

**Energy above the most stable polymorph in this dataset**: 0.0 meV/atom
**DFT total energy**: -7.427 eV per atom
**ΔH_f (0 K)**: -0.126 eV per atom

First-principles (PBE) data for UV3 after structural relaxation, as listed in Alexandria via LeMat-Bulk.

Geometry as CIF:
```
data_UV3
_symmetry_space_group_name_H-M 'I 4/m m m'
_symmetry_Int_Tables_number 139
_symmetry_space_group_name_Hall '-I 4 2'
_cell_length_a 3.684
_cell_length_b 3.684
_cell_length_c 9.158
_cell_angle_alpha 90.00
_cell_angle_beta 90.00
_cell_angle_gamma 90.00
loop_
_atom_site_label
_atom_site_type_symbol
_atom_site_fract_x
_atom_site_fract_y
_atom_site_fract_z
_atom_site_occupancy
U1 U 0.000 0.000 0.000 1
V1 V 0.000 0.000 0.500 1
V2 V 0.000 0.500 0.250 1
```

**Energy above the most stable polymorph in this dataset**: 225.1 meV/atom
**DFT total energy**: -9.331 eV per atom
**ΔH_f (0 K)**: 0.330 eV per atom

First-principles (PBE) data for Tl2InO4 after structural relaxation, as listed in Alexandria via LeMat-Bulk.

Geometry as CIF:
```
data_Tl2InO4
_symmetry_space_group_name_H-M 'I m m a'
_symmetry_Int_Tables_number 74
_symmetry_space_group_name_Hall '-I 2b 2'
_cell_length_a 6.771
_cell_length_b 6.894
_cell_length_c 9.686
_cell_angle_alpha 90.00
_cell_angle_beta 90.00
_cell_angle_gamma 90.00
loop_
_atom_site_label
_atom_site_type_symbol
_atom_site_fract_x
_atom_site_fract_y
_atom_site_fract_z
_atom_site_occupancy
Tl1 Tl 0.000 0.000 0.000 1
Tl2 Tl 0.000 0.250 0.374 1
In1 In 0.250 0.250 0.750 1
O1 O 0.000 0.037 0.760 1
O2 O 0.228 0.250 0.980 1
```

**Formation energy (no corrections)**: -0.97 eV per atom
**Energy above the most stable polymorph in this dataset**: 0.0 meV/atom
**DFT total energy**: -4.870 eV per atom

First-principles (PBE) data for CaMn2Re after structural relaxation, as listed in Alexandria via LeMat-Bulk.

Geometry as CIF:
```
data_CaMn2Re
_symmetry_space_group_name_H-M 'P m m m'
_symmetry_Int_Tables_number 47
_symmetry_space_group_name_Hall '-P 2 2'
_cell_length_a 2.878
_cell_length_b 4.669
_cell_length_c 4.691
_cell_angle_alpha 90.00
_cell_angle_beta 90.00
_cell_angle_gamma 90.00
loop_
_atom_site_label
_atom_site_type_symbol
_atom_site_fract_x
_atom_site_fract_y
_atom_site_fract_z
_atom_site_occupancy
Ca1 Ca 0.000 0.000 0.000 1
Mn1 Mn 0.500 0.000 0.500 1
Mn2 Mn 0.500 0.500 0.000 1
Re1 Re 0.000 0.500 0.500 1
```

**Energy above the most stable polymorph in this dataset**: 279.0 meV/atom
**DFT total energy**: -7.545 eV per atom
**ΔH_f (0 K)**: 0.652 eV per atom

First-principles (PBE) data for TmRu6 after structural relaxation, as listed in Alexandria via LeMat-Bulk.

Geometry as CIF:
```
data_TmRu6
_symmetry_space_group_name_H-M 'I m -3 m'
_symmetry_Int_Tables_number 229
_symmetry_space_group_name_Hall '-I 4 2 3'
_cell_length_a 6.680
_cell_length_b 6.680
_cell_length_c 6.680
_cell_angle_alpha 90.00
_cell_angle_beta 90.00
_cell_angle_gamma 90.00
loop_
_atom_site_label
_atom_site_type_symbol
_atom_site_fract_x
_atom_site_fract_y
_atom_site_fract_z
_atom_site_occupancy
Tm1 Tm 0.000 0.000 0.000 1
Ru1 Ru 0.000 0.250 0.500 1
```

**DFT total energy**: -7.830 eV per atom
**ΔH_f (0 K)**: 0.760 eV per atom

First-principles (PBE) data for KZrMn2Sb after structural relaxation, as listed in Alexandria via LeMat-Bulk.

Geometry as CIF:
```
data_KZrMn2Sb
_symmetry_space_group_name_H-M 'P 4/m m m'
_symmetry_Int_Tables_number 123
_symmetry_space_group_name_Hall '-P 4 2'
_cell_length_a 4.937
_cell_length_b 4.937
_cell_length_c 5.604
_cell_angle_alpha 90.00
_cell_angle_beta 90.00
_cell_angle_gamma 90.00
loop_
_atom_site_label
_atom_site_type_symbol
_atom_site_fract_x
_atom_site_fract_y
_atom_site_fract_z
_atom_site_occupancy
K1 K 0.000 0.000 0.000 1
Zr1 Zr 0.000 0.000 0.500 1
Mn1 Mn 0.000 0.500 0.500 1
Sb1 Sb 0.500 0.500 0.000 1
```

**Formation energy (no corrections)**: 1.27 eV per atom
**DFT total energy**: -5.156 eV per atom

First-principles (PBE) data for CoSbAs2 after structural relaxation, as listed in Alexandria via LeMat-Bulk.

Geometry as CIF:
```
data_CoSbAs2
_symmetry_space_group_name_H-M 'C 1 m 1'
_symmetry_Int_Tables_number 8
_symmetry_space_group_name_Hall 'C -2y'
_cell_length_a 8.059
_cell_length_b 3.491
_cell_length_c 6.025
_cell_angle_alpha 90.00
_cell_angle_beta 110.27
_cell_angle_gamma 90.00
loop_
_atom_site_label
_atom_site_type_symbol
_atom_site_fract_x
_atom_site_fract_y
_atom_site_fract_z
_atom_site_occupancy
Co1 Co 0.000 0.000 0.000 1
Sb1 Sb 0.371 0.000 0.636 1
As1 As 0.065 0.500 0.303 1
As2 As 0.206 0.500 0.982 1
```

**Formation energy (no corrections)**: 0.05 eV per atom
**DFT total energy**: -5.084 eV per atom

First-principles (PBE) data for Ac4Sn2N after structural relaxation, as listed in Alexandria via LeMat-Bulk.

Geometry as CIF:
```
data_Ac4Sn2N
_symmetry_space_group_name_H-M 'I 4/m m m'
_symmetry_Int_Tables_number 139
_symmetry_space_group_name_Hall '-I 4 2'
_cell_length_a 5.117
_cell_length_b 5.117
_cell_length_c 18.495
_cell_angle_alpha 90.00
_cell_angle_beta 90.00
_cell_angle_gamma 90.00
loop_
_atom_site_label
_atom_site_type_symbol
_atom_site_fract_x
_atom_site_fract_y
_atom_site_fract_z
_atom_site_occupancy
Ac1 Ac 0.000 0.000 0.177 1
Ac2 Ac 0.000 0.500 0.000 1
Sn1 Sn 0.000 0.000 0.361 1
N1 N 0.000 0.000 0.500 1
```

**Formation energy (no corrections)**: -0.51 eV per atom
**Energy above the most stable polymorph in this dataset**: 259.9 meV/atom
**DFT total energy**: -5.186 eV per atom